# 1
This record from the Alexandria database describes crystalline Tl2SnI2Cl2 at its relaxed geometry. The functional is GGA-PBE.

**Symmetry**: No. 139
**Raw formation energy**: -0.78 eV per atom
**Calculated volume**: 39.215 Å³ per atom

Unit cell a=5.508 b=5.508 c=9.851 alpha=106.23 beta=106.23 gamma=90.00
Fractional positions:
Cl1 0.000 0.500 0.000
Tl1 0.363 0.363 0.727
Tl2 0.637 0.637 0.273
Cl2 0.500 0.000 0.000
I1 0.176 0.176 0.352
Sn1 0.000 0.000 0.000
I2 0.824 0.824 0.648



# 2
This record from the Alexandria database describes crystalline Zr2HgBr at its relaxed geometry. The functional is GGA-PBE.

**Symmetry**: No. 47
**Raw formation energy**: -0.19 eV per atom
**E above lowest polymorph**: 196.6 meV/atom
**Calculated volume**: 22.723 Å³ per atom

Unit cell a=3.947 b=3.235 c=7.119 alpha=90.01 beta=90.00 gamma=90.00
Fractional positions:
Hg1 0.500 0.750 0.750
Br1 0.500 0.250 0.250
Zr1 0.000 0.250 0.511
Zr2 0.000 0.250 0.989



# 3
This record from the Alexandria database describes crystalline AgPbCl2 at its relaxed geometry. The functional is GGA-PBE.

**Symmetry**: No. 122
**Raw formation energy**: -0.39 eV per atom
**E above lowest polymorph**: 111.2 meV/atom
**Calculated volume**: 25.935 Å³ per atom

Unit cell a=7.709 b=7.709 c=6.473 alpha=53.46 beta=53.46 gamma=90.00
Fractional positions:
Cl1 0.375 0.408 0.750
Pb1 0.750 0.250 0.500
Cl2 0.592 0.125 0.250
Pb2 0.000 0.000 0.000
Ag1 0.250 0.750 0.500
Cl3 0.158 0.625 0.250
Cl4 0.875 0.842 0.750
Ag2 0.500 0.500 0.000



# 4
This record from the Alexandria database describes crystalline NbAlIr2Cl at its relaxed geometry. The functional is GGA-PBE.

**Symmetry**: No. 123
**Raw formation energy**: 0.94 eV per atom
**Calculated volume**: 18.574 Å³ per atom

Unit cell a=4.547 b=4.492 c=4.547 alpha=90.00 beta=90.00 gamma=90.00
Fractional positions:
Nb1 0.500 0.500 0.500
Ir1 0.000 0.000 0.500
Cl1 0.000 0.500 0.000
Ir2 0.500 0.000 0.000
Al1 0.000 0.000 0.000



# 5
This record from the Alexandria database describes crystalline Pm3Sm4Y2 at its relaxed geometry. The functional is GGA-PBE.

**Symmetry**: No. 12
**Energy of formation from the pure elements**: 0.01 eV/atom
**E above lowest polymorph**: 0.0 meV/atom
**Calculated volume**: 33.641 Å³ per atom

Unit cell a=3.623 b=8.117 c=10.854 alpha=77.01 beta=90.00 gamma=102.90
Fractional positions:
Pm1 0.000 0.000 0.000
Y1 0.333 0.666 0.222
Sm1 0.667 0.333 0.110
Pm2 0.667 0.333 0.445
Sm2 0.333 0.667 0.890
Pm3 0.333 0.667 0.555
Y2 0.667 0.334 0.778
Sm3 0.001 0.001 0.333
Sm4 0.999 0.999 0.667



# 6
This record from the Alexandria database describes crystalline PmDyPb2O8 at its relaxed geometry. The functional is GGA-PBE.

**Symmetry**: No. 82
**Raw formation energy**: -1.75 eV per atom
**Calculated volume**: 14.151 Å³ per atom

Unit cell a=5.634 b=5.634 c=6.670 alpha=114.98 beta=114.98 gamma=90.00
Fractional positions:
O1 0.141 0.601 0.800
O2 0.658 0.199 0.800
Pb1 0.250 0.750 0.500
Pb2 0.500 0.500 0.000
O3 0.943 0.398 0.307
O4 0.091 0.057 0.693
Dy1 0.750 0.250 0.500
O5 0.602 0.636 0.693
Pm1 0.000 0.000 0.000
O6 0.364 0.909 0.307
O7 0.801 0.859 0.200
O8 0.399 0.342 0.200



# 7
This record from the Alexandria database describes crystalline Bi2SbHPt at its relaxed geometry. The functional is GGA-PBE.

**Symmetry**: No. 123
**Calculated volume**: 22.572 Å³ per atom

Unit cell a=5.614 b=5.614 c=3.581 alpha=90.00 beta=90.00 gamma=90.00
Fractional positions:
Pt1 0.000 0.000 0.000
Bi1 0.000 0.500 0.000
Bi2 0.500 0.000 0.000
Sb1 0.500 0.500 0.500
H1 0.000 0.000 0.500



# 8
This record from the Alexandria database describes crystalline Pr3Sm2ThTe6 at its relaxed geometry. The functional is GGA-PBE.

**Symmetry**: No. 12
**Raw formation energy**: -1.34 eV per atom
**Calculated volume**: 32.050 Å³ per atom

Unit cell a=4.481 b=9.014 c=10.012 alpha=102.31 beta=102.93 gamma=90.00
Fractional positions:
Te1 0.331 0.420 0.662
Te2 0.002 0.250 0.004
Th1 0.500 0.000 0.000
Sm1 0.165 0.331 0.331
Pr1 0.500 0.500 0.000
Te3 0.667 0.089 0.334
Pr2 0.165 0.834 0.329
Te4 0.998 0.750 0.996
Sm2 0.835 0.669 0.669
Te5 0.669 0.580 0.338
Pr3 0.835 0.166 0.671
Te6 0.333 0.911 0.666



# 9
This record from the Alexandria database describes crystalline HfMnGa2 at its relaxed geometry. The functional is GGA-PBE.

**Symmetry**: No. 123
**Energy of formation from the pure elements**: -0.29 eV/atom
**Calculated volume**: 16.264 Å³ per atom

Unit cell a=4.032 b=4.017 c=4.017 alpha=90.00 beta=90.00 gamma=90.00
Fractional positions:
Ga1 0.000 0.000 0.500
Mn1 0.500 0.000 0.000
Ga2 0.000 0.500 0.000
Hf1 0.500 0.500 0.500



# 10
This record from the Alexandria database describes crystalline NaSm2GeO6 at its relaxed geometry. The functional is GGA-PBE.

**Symmetry**: No. 14
**Raw formation energy**: -2.42 eV per atom
**Calculated volume**: 12.713 Å³ per atom

Unit cell a=5.501 b=5.886 c=7.857 alpha=90.00 beta=88.17 gamma=90.00
Fractional positions:
O1 0.626 0.055 0.276
O2 0.837 0.776 0.926
O3 0.216 0.171 0.448
O4 0.284 0.671 0.052
O5 0.126 0.445 0.776
O6 0.663 0.276 0.574
Ge1 0.500 0.000 0.500
Sm1 0.025 0.929 0.256
O7 0.163 0.224 0.074
Sm2 0.525 0.571 0.756
Na1 0.000 0.500 0.500
O8 0.784 0.829 0.552
O9 0.716 0.329 0.948
O10 0.874 0.555 0.224
O11 0.337 0.724 0.426
Ge2 0.000 0.500 0.000
Sm3 0.975 0.071 0.744
Sm4 0.475 0.429 0.244
Na2 0.500 0.000 0.000
O12 0.374 0.945 0.724



# 11
This record from the Alexandria database describes crystalline NaPt2F at its relaxed geometry. The functional is GGA-PBE.

**Symmetry**: No. 225
**Raw formation energy**: 0.36 eV per atom
**E above lowest polymorph**: 919.3 meV/atom
**Calculated volume**: 15.431 Å³ per atom

Unit cell a=4.436 b=4.436 c=4.436 alpha=60.00 beta=60.00 gamma=60.00
Fractional positions:
Pt1 0.250 0.250 0.250
F1 0.000 0.000 0.000
Na1 0.500 0.500 0.500
Pt2 0.750 0.750 0.750



# 12
This record from the Alexandria database describes crystalline AcSm2Zr at its relaxed geometry. The functional is GGA-PBE.

**Symmetry**: No. 123
**Energy of formation from the pure elements**: 0.17 eV/atom
**E above lowest polymorph**: 0.0 meV/atom
**Calculated volume**: 32.477 Å³ per atom

Unit cell a=5.132 b=5.031 c=5.031 alpha=90.00 beta=90.00 gamma=90.00
Fractional positions:
Sm1 0.000 0.500 0.000
Ac1 0.500 0.000 0.000
Sm2 0.000 0.000 0.500
Zr1 0.500 0.500 0.500



The records above yield DOS(E_F) values of 0.000; 0.741; 0.772; 1.257; 1.314; 0.210; 0.447; 0.671; 0.490; 0.570; 0.975; 1.250 states/eV/atom, respectively.
The records above yield VASP energy values of -21.0; -19.8; -23.6; -28.7; -45.9; -77.4; -21.3; -66.2; -26.3; -138.6; -13.8; -21.4 eV/cell, respectively.
The records above yield magnetization values of 0.00; 0.00; 0.00; 0.00; 0.00; 0.17; 0.00; 0.00; 0.73; 0.11; 0.00; 0.00 μB/atom, respectively.